CaFe2Rh after structural relaxation. Source: the Alexandria database, functional PBE-GGA.

CIF file:
```
data_CaFe2Rh
_chemical_formula_sum 'Ca1 Fe2 Rh1'
_space_group_name_H-M_alt 'P 1'
_space_group_IT_number 1
_space_group_name_Hall 'P 1'
_cell_length_a 5.3209
_cell_length_b 5.3209
_cell_length_c 5.3209
_cell_angle_alpha 147.04
_cell_angle_beta 127.81
_cell_angle_gamma 63.12
loop_
_atom_site_label
_atom_site_type_symbol
_atom_site_fract_x
_atom_site_fract_y
_atom_site_fract_z
Rh1 Rh 0.5233 0.5233 0.0000
Ca1 Ca 0.2496 0.7496 0.5000
Fe1 Fe 0.9694 0.9694 0.0000
Fe2 Fe 0.7576 0.2576 0.5000
```

Energy of formation in eV/atom: 0.265